Here is P2PtSe after structural relaxation from the Alexandria database. Energies are from PBE.

Geometry as POSCAR:
```
P2PtSe
1.0
-2.522 2.522 2.581
2.522 -2.522 2.581
2.522 2.522 -2.581
P Pt Se
2 1 1
Cartesian
2.522 0.000 0.000
0.000 2.522 0.000
0.000 0.000 0.000
0.000 0.000 2.581
```

* DFT total energy: -5.125 eV per atom
* theoretical density: 8.497 g cm⁻³
* magnetization: 0.00 μB/atom
* crystal system: tetragonal
* space group: I4/mmm (139)